1.
ThScWC3 | PBE | relaxed

Computed properties:
* total DFT energy (no corrections): -112.1 eV per cell
* formation enthalpy at 0 K: -27.2 kJ per mole of atoms
* space-group type: No. 11
* DOS(E_F): 2.2 states/eV/f.u.

```
12
Lattice="5.8247 0.0000 0.0000 0.0000 3.5095 0.0000 -1.8231 0.0000 8.2498" Properties=species:S:1:pos:R:3 pbc="T T T"
Th 0.4808 0.8774 1.6216
Th 3.5208 2.6322 6.6282
Sc 0.5584 2.6322 4.5108
Sc 3.4432 0.8774 3.7390
W 0.5805 0.8774 7.0962
W 3.4212 2.6322 1.1536
C -0.8392 0.8774 5.5493
C -0.1555 2.6322 8.0024
C 2.0878 2.6322 2.7173
C 1.9138 0.8774 5.5325
C 4.1572 0.8774 0.2474
C 4.8408 2.6322 2.7005
```

---

2.
Ba6Pb2NCl | PBE | relaxed

Computed properties:
* energy relative to the elements, uncorrected: -18.755 kcal/mol of atoms
* total DFT energy (no corrections): -74.5 eV per cell
* space-group type: No. 59
* DOS(E_F): 0.6 states/eV/f.u.

```
20
Lattice="8.2404 0.0000 0.0000 0.0000 11.6557 0.0000 0.0000 0.0000 8.2408" Properties=species:S:1:pos:R:3 pbc="T T T"
Ba 0.1395 2.9139 0.1338
Ba 0.1372 2.9139 3.9770
Ba 2.0601 0.1950 2.0574
Ba 2.0601 5.6328 2.0574
Ba 3.9807 2.9139 0.1338
Ba 3.9830 2.9139 3.9770
Ba 4.2574 8.7417 4.2638
Ba 4.2597 8.7417 8.1069
Ba 6.1803 6.0229 6.1834
Ba 6.1803 11.4606 6.1834
Ba 8.1033 8.7417 4.2638
Ba 8.1009 8.7417 8.1069
Pb 2.0601 0.0013 6.1779
Pb 2.0601 5.8265 6.1779
Pb 6.1803 11.6544 2.0629
Pb 6.1803 5.8291 2.0629
N 2.0601 2.9139 2.0554
N 6.1803 8.7417 6.1854
Cl 2.0601 8.7417 2.0642
Cl 6.1803 2.9139 6.1766
```

---

3.
CePaPd | PBE | relaxed

Computed properties:
* total DFT energy (no corrections): -86.1 eV per cell
* formation enthalpy at 0 K: -29.2 kJ per mole of atoms
* energy above the most stable polymorph in this dataset: 0.000 eV per atom
* space-group type: No. 12
* DOS(E_F): 5.7 states/eV/f.u.

```
12
Lattice="10.6496 0.0000 0.0000 0.0000 4.6189 0.0000 -1.3203 0.0000 5.5187" Properties=species:S:1:pos:R:3 pbc="T T T"
Ce 0.1476 0.0000 1.3258
Ce 3.8569 2.3094 4.1929
Ce 5.4724 2.3094 1.3258
Ce 9.1817 0.0000 4.1929
Pa 0.2543 2.3094 4.3678
Pa 3.7502 0.0000 1.1508
Pa 5.5791 0.0000 4.3678
Pa 9.0750 2.3094 1.1508
Pd 2.0509 2.3094 1.7845
Pd 1.9536 0.0000 3.7341
Pd 7.3757 0.0000 1.7845
Pd 7.2784 2.3094 3.7341
```

---

Per-record magnetic moment, μB per formula unit: 0.0 0.0 0.0